No. 1
Entry from Alexandria: Ca2FeIr after structural relaxation (PBE).

Structure (CIF):
```
data_Ca2FeIr
_chemical_formula_sum 'Ca6 Fe3 Ir3'
_cell_length_a 3.2445
_cell_length_b 3.2445
_cell_length_c 27.7413
_cell_angle_alpha 90.00
_cell_angle_beta 90.00
_cell_angle_gamma 120.00
_space_group_name_H-M_alt 'R -3 m'
_space_group_IT_number 166
_space_group_name_Hall '-R 3 2"'
loop_
_atom_site_label
_atom_site_type_symbol
_atom_site_fract_x
_atom_site_fract_y
_atom_site_fract_z
_atom_site_occupancy
Ca1 Ca 0.0000 0.0000 0.2448 1
Fe1 Fe 0.0000 0.0000 0.0000 1
Ir1 Ir 0.0000 0.0000 0.5000 1
```

Results
Calculated volume: 84 Å³/f.u.
Magnetic moment: 0.602 μB/atom
N(E_F): 0.559 states/eV per atom
Offset from the most stable computed form: 11.39 kcal/mol of atoms
ΔE_f: 1.87 eV per formula unit


No. 2
Entry from Alexandria: LiIn2Sn after structural relaxation (PBE).

Structure (CIF):
```
data_LiIn2Sn
_chemical_formula_sum 'Li3 In6 Sn3'
_cell_length_a 4.7764
_cell_length_b 4.7764
_cell_length_c 15.5103
_cell_angle_alpha 90.00
_cell_angle_beta 90.00
_cell_angle_gamma 120.00
_space_group_name_H-M_alt 'R 3 m'
_space_group_IT_number 160
_space_group_name_Hall 'R 3 -2"'
loop_
_atom_site_label
_atom_site_type_symbol
_atom_site_fract_x
_atom_site_fract_y
_atom_site_fract_z
_atom_site_occupancy
Li1 Li 0.0000 0.0000 0.0000 1
In1 In 0.0000 0.0000 0.1956 1
In2 In 0.0000 0.0000 0.4183 1
Sn1 Sn 0.0000 0.0000 0.6327 1
```

Results
Calculated volume: 102 Å³/f.u.
Magnetic moment: 0.000 μB/atom
N(E_F): 0.409 states/eV per atom
ΔE_f: -0.34 eV per formula unit


No. 3
Entry from Alexandria: Ac4BiRhSe2 after structural relaxation (PBE).

Structure (CIF):
```
data_Ac4BiRhSe2
_chemical_formula_sum 'Ac4 Bi1 Rh1 Se2'
_cell_length_a 7.939
_cell_length_b 4.508
_cell_length_c 8.043
_cell_angle_alpha 90.00
_cell_angle_beta 108.34
_cell_angle_gamma 90.00
_space_group_name_H-M_alt 'P 1 2/m 1'
_space_group_IT_number 10
_space_group_name_Hall '-P 2y'
loop_
_atom_site_label
_atom_site_type_symbol
_atom_site_fract_x
_atom_site_fract_y
_atom_site_fract_z
_atom_site_occupancy
Ac1 Ac 0.237 0.000 0.228 1
Ac2 Ac 0.244 0.500 0.775 1
Bi1 Bi 0.000 0.000 0.500 1
Rh1 Rh 0.000 0.500 0.000 1
Se1 Se 0.500 0.000 0.000 1
Se2 Se 0.500 0.500 0.500 1
```

Results
Calculated volume: 273 Å³/f.u.
Magnetic moment: 0.000 μB/atom
N(E_F): 0.797 states/eV per atom
Formation energy from raw total energies: -1278 meV/atom


No. 4
Entry from Alexandria: HoPu2ThBi4 after structural relaxation (PBE).

Structure (CIF):
```
data_HoPu2ThBi4
_chemical_formula_sum 'Ho1 Pu2 Th1 Bi4'
_cell_length_a 7.867
_cell_length_b 4.551
_cell_length_c 7.877
_cell_angle_alpha 90.00
_cell_angle_beta 109.51
_cell_angle_gamma 90.00
_space_group_name_H-M_alt 'P 1 2/m 1'
_space_group_IT_number 10
_space_group_name_Hall '-P 2y'
loop_
_atom_site_label
_atom_site_type_symbol
_atom_site_fract_x
_atom_site_fract_y
_atom_site_fract_z
_atom_site_occupancy
Ho1 Ho 0.000 0.000 0.000 1
Pu1 Pu 0.500 0.000 0.500 1
Pu2 Pu 0.500 0.500 0.000 1
Th1 Th 0.000 0.500 0.500 1
Bi1 Bi 0.248 0.500 0.245 1
Bi2 Bi 0.251 0.000 0.756 1
```

Results
Calculated volume: 266 Å³/f.u.
Magnetic moment: 0.004 μB/atom
N(E_F): 4.290 states/eV per atom
ΔE_f: -4.27 eV per formula unit


No. 5
Entry from Alexandria: YCdP2 after structural relaxation (PBE).

Structure (CIF):
```
data_YCdP2
_chemical_formula_sum 'Y2 Cd2 P4'
_cell_length_a 7.086
_cell_length_b 4.089
_cell_length_c 6.494
_cell_angle_alpha 90.00
_cell_angle_beta 110.21
_cell_angle_gamma 90.00
_space_group_name_H-M_alt 'C 1 2/m 1'
_space_group_IT_number 12
_space_group_name_Hall '-C 2y'
loop_
_atom_site_label
_atom_site_type_symbol
_atom_site_fract_x
_atom_site_fract_y
_atom_site_fract_z
_atom_site_occupancy
Y1 Y 0.000 0.000 0.000 1
Cd1 Cd 0.000 0.500 0.500 1
P1 P 0.247 0.500 0.251 1
```

Results
Calculated volume: 88 Å³/f.u.
Magnetic moment: 0.000 μB/atom
N(E_F): 0.697 states/eV per atom
ΔE_f: -2.18 eV per formula unit


No. 6
Entry from Alexandria: IrPd4Pt7 after structural relaxation (PBE).

Structure (CIF):
```
data_IrPd4Pt7
_chemical_formula_sum 'Ir1 Pd4 Pt7'
_cell_length_a 4.6593
_cell_length_b 4.6593
_cell_length_c 10.6950
_cell_angle_alpha 90.00
_cell_angle_beta 90.00
_cell_angle_gamma 120.00
_space_group_name_H-M_alt 'P 6/m m m'
_space_group_IT_number 191
_space_group_name_Hall '-P 6 2'
loop_
_atom_site_label
_atom_site_type_symbol
_atom_site_fract_x
_atom_site_fract_y
_atom_site_fract_z
_atom_site_occupancy
Ir1 Ir 0.0000 0.0000 0.0000 1
Pd1 Pd 0.3333 0.6667 0.0000 1
Pd2 Pd 0.3333 0.6667 0.5000 1
Pt1 Pt 0.0000 0.0000 0.2403 1
Pt2 Pt 0.0000 0.0000 0.5000 1
Pt3 Pt 0.3333 0.6667 0.2503 1
```

Results
Calculated volume: 201 Å³/f.u.
Magnetic moment: 0.000 μB/atom
N(E_F): 1.711 states/eV per atom
ΔE_f: 3.14 eV per formula unit


No. 7
Entry from Alexandria: AlAsIr2 after structural relaxation (PBE).

Structure (CIF):
```
data_AlAsIr2
_chemical_formula_sum 'Al2 As2 Ir4'
_cell_length_a 8.967
_cell_length_b 3.081
_cell_length_c 4.424
_cell_angle_alpha 90.00
_cell_angle_beta 103.83
_cell_angle_gamma 90.00
_space_group_name_H-M_alt 'C 1 m 1'
_space_group_IT_number 8
_space_group_name_Hall 'C -2y'
loop_
_atom_site_label
_atom_site_type_symbol
_atom_site_fract_x
_atom_site_fract_y
_atom_site_fract_z
_atom_site_occupancy
Al1 Al 0.000 0.000 0.000 1
As1 As 0.257 0.500 0.369 1
Ir1 Ir 0.266 0.000 0.904 1
Ir2 Ir 0.493 0.000 0.497 1
```

Results
Calculated volume: 59 Å³/f.u.
Magnetic moment: 0.000 μB/atom
N(E_F): 0.398 states/eV per atom
Offset from the most stable computed form: 0.05 kcal/mol of atoms
ΔE_f: -1.28 eV per formula unit


No. 8
Entry from Alexandria: KLiPa4N8 after structural relaxation (PBE).

Structure (CIF):
```
data_KLiPa4N8
_chemical_formula_sum 'K3 Li3 Pa12 N24'
_cell_length_a 7.1754
_cell_length_b 7.1754
_cell_length_c 16.3054
_cell_angle_alpha 90.00
_cell_angle_beta 90.00
_cell_angle_gamma 120.00
_space_group_name_H-M_alt 'R 3 m'
_space_group_IT_number 160
_space_group_name_Hall 'R 3 -2"'
loop_
_atom_site_label
_atom_site_type_symbol
_atom_site_fract_x
_atom_site_fract_y
_atom_site_fract_z
_atom_site_occupancy
K1 K 0.0000 0.0000 0.0000 1
Li1 Li 0.0000 0.0000 0.6329 1
Pa1 Pa 0.0000 0.0000 0.2319 1
Pa2 Pa 0.1726 0.3452 0.4473 1
N1 N 0.0000 0.0000 0.3664 1
N2 N 0.0000 0.0000 0.8437 1
N3 N 0.0108 0.5054 0.8466 1
N4 N 0.0624 0.5312 0.3813 1
```

Results
Calculated volume: 242 Å³/f.u.
Magnetic moment: 0.000 μB/atom
N(E_F): 0.785 states/eV per atom
Formation energy from raw total energies: -1000 meV/atom